MnP2H, relaxed, DFT PBE; space group = No. 166; spin magnetization = 0.00 Bohr magnetons per cell; VASP energy = -5.82 eV/atom; theoretical density = 3.96 Mg/m³
1.0
2.973 0.000 0.000
-1.486 2.575 0.000
0.000 0.000 19.398
Mn P H
3 6 3
direct
0.000 0.000 0.000 Mn
0.333 0.667 0.667 Mn
0.667 0.333 0.333 Mn
0.000 0.000 0.411 P
0.000 0.000 0.589 P
0.333 0.667 0.077 P
0.333 0.667 0.256 P
0.667 0.333 0.744 P
0.667 0.333 0.923 P
0.000 0.000 0.500 H
0.333 0.667 0.167 H
0.667 0.333 0.833 H

DyMgZr, relaxed, DFT PBE; space group = No. 129; spin magnetization = 0.00 Bohr magnetons per cell; theoretical density = 6.01 Mg/m³; calculated formation energy = -6 meV/atom
1.0
3.330 0.000 0.000
0.000 3.330 0.000
0.000 0.000 13.861
Dy Mg Zr
2 2 2
direct
0.250 0.250 0.248 Dy
0.750 0.750 0.752 Dy
0.250 0.250 0.574 Mg
0.750 0.750 0.426 Mg
0.250 0.250 0.922 Zr
0.750 0.750 0.078 Zr

Sr4Dy, relaxed, DFT PBE; space group = No. 221; spin magnetization = 2.51 Bohr magnetons per cell; theoretical density = 2.96 Mg/m³; calculated formation energy = 562 meV/atom
1.0
6.605 0.000 0.000
0.000 6.605 0.000
0.000 0.000 6.605
Sr Dy
4 1
direct
0.000 0.000 0.000 Sr
0.000 0.500 0.500 Sr
0.500 0.000 0.500 Sr
0.500 0.500 0.000 Sr
0.500 0.500 0.500 Dy

Zr2CrSe6, relaxed, DFT PBE; uncorrected formation energy = -925 meV per atom; space group = No. 14; spin magnetization = 4.91 Bohr magnetons per cell; theoretical density = 6.08 Mg/m³
1.0
6.400 0.000 0.000
0.000 6.920 0.000
-6.201 0.000 8.740
Zr Cr Se
4 2 12
direct
0.219 0.136 0.254 Zr
0.219 0.364 0.754 Zr
0.781 0.636 0.246 Zr
0.781 0.864 0.746 Zr
0.000 0.000 0.500 Cr
0.000 0.500 0.000 Cr
0.089 0.176 0.934 Se
0.089 0.324 0.434 Se
0.268 0.673 0.931 Se
0.268 0.827 0.431 Se
0.410 0.022 0.759 Se
0.410 0.478 0.259 Se
0.590 0.522 0.741 Se
0.590 0.978 0.241 Se
0.732 0.173 0.569 Se
0.732 0.327 0.069 Se
0.911 0.676 0.566 Se
0.911 0.824 0.066 Se

MgTlRe2, relaxed, DFT PBE; space group = No. 6; spin magnetization = 0.00 Bohr magnetons per cell; theoretical density = 13.10 Mg/m³; calculated formation energy = 289 meV/atom
1.0
3.054 0.000 0.000
0.000 3.047 0.000
-0.204 0.000 8.188
Mg Tl Re
1 1 2
direct
0.000 0.000 0.000 Mg
0.471 0.500 0.315 Tl
0.485 0.500 0.765 Re
0.973 0.000 0.594 Re

AlGa2Tc, relaxed, DFT PBE; space group = No. 166; spin magnetization = 0.00 Bohr magnetons per cell; theoretical density = 7.18 Mg/m³; calculated formation energy = 164 meV/atom
1.0
4.287 0.000 0.000
-2.143 3.712 0.000
0.000 0.000 11.535
Al Ga Tc
3 6 3
direct
0.000 0.000 0.000 Al
0.333 0.667 0.667 Al
0.667 0.333 0.333 Al
0.000 0.000 0.252 Ga
0.000 0.000 0.748 Ga
0.333 0.667 0.415 Ga
0.333 0.667 0.918 Ga
0.667 0.333 0.082 Ga
0.667 0.333 0.585 Ga
0.000 0.000 0.500 Tc
0.333 0.667 0.167 Tc
0.667 0.333 0.833 Tc

LaGeN2Cl, relaxed, DFT PBE; uncorrected formation energy = -896 meV per atom; space group = No. 11; spin magnetization = 0.00 Bohr magnetons per cell; theoretical density = 4.26 Mg/m³
1.0
7.453 0.000 0.000
0.000 3.676 0.000
-1.771 0.000 7.822
La Ge N Cl
2 2 4 2
direct
0.206 0.250 0.463 La
0.794 0.750 0.537 La
0.051 0.250 0.884 Ge
0.949 0.750 0.116 Ge
0.013 0.750 0.352 N
0.118 0.750 0.969 N
0.882 0.250 0.031 N
0.987 0.250 0.648 N
0.462 0.750 0.691 Cl
0.538 0.250 0.309 Cl

NbNiBi2, relaxed, DFT PBE; space group = No. 225; spin magnetization = 0.00 Bohr magnetons per cell; theoretical density = 11.13 Mg/m³; calculated formation energy = 477 meV/atom
1.0
6.978 0.000 0.000
0.000 6.978 0.000
0.000 0.000 6.978
Nb Ni Bi
4 4 8
direct
0.000 0.000 0.000 Nb
0.000 0.500 0.500 Nb
0.500 0.000 0.500 Nb
0.500 0.500 0.000 Nb
0.000 0.000 0.500 Ni
0.000 0.500 0.000 Ni
0.500 0.000 0.000 Ni
0.500 0.500 0.500 Ni
0.250 0.250 0.250 Bi
0.250 0.250 0.750 Bi
0.250 0.750 0.250 Bi
0.250 0.750 0.750 Bi
0.750 0.250 0.250 Bi
0.750 0.250 0.750 Bi
0.750 0.750 0.250 Bi
0.750 0.750 0.750 Bi

CdIn2AgIr, relaxed, DFT PBE; space group = No. 123; spin magnetization = 0.96 Bohr magnetons per cell; theoretical density = 7.69 Mg/m³; calculated formation energy = 1273 meV/atom
1.0
5.245 0.000 0.000
0.000 5.245 0.000
0.000 0.000 5.040
Cd In Ag Ir
1 2 1 1
direct
0.000 0.000 0.000 Cd
0.000 0.500 0.000 In
0.500 0.000 0.000 In
0.000 0.000 0.500 Ag
0.500 0.500 0.500 Ir

Tb3Y3Er, relaxed, DFT PBE; space group = No. 148; spin magnetization = 0.00 Bohr magnetons per cell; theoretical density = 6.43 Mg/m³; calculated formation energy = 149 meV/atom
1.0
3.095 1.787 14.167
-3.095 1.787 14.167
0.000 -3.574 14.167
Tb Y Er
6 6 2
direct
0.133 0.464 0.801 Tb
0.199 0.867 0.536 Tb
0.464 0.801 0.133 Tb
0.536 0.199 0.867 Tb
0.801 0.133 0.464 Tb
0.867 0.536 0.199 Tb
0.066 0.732 0.400 Y
0.268 0.600 0.934 Y
0.400 0.066 0.732 Y
0.600 0.934 0.268 Y
0.732 0.400 0.066 Y
0.934 0.268 0.600 Y
0.333 0.333 0.333 Er
0.667 0.667 0.667 Er

CoRePCl2, relaxed, DFT PBE; uncorrected formation energy = 930 meV per atom; space group = No. 123; spin magnetization = 1.11 Bohr magnetons per cell; theoretical density = 5.24 Mg/m³
1.0
4.889 0.000 0.000
0.000 4.889 0.000
0.000 0.000 4.602
Co Re P Cl
1 1 1 2
direct
0.000 0.000 0.000 Co
0.500 0.500 0.500 Re
0.500 0.500 0.000 P
0.000 0.500 0.500 Cl
0.500 0.000 0.500 Cl

Ac2NpPd3Au12, relaxed, DFT PBE; space group = No. 166; spin magnetization = 3.83 Bohr magnetons per cell; theoretical density = 13.05 Mg/m³; calculated formation energy = -98 meV/atom
1.0
3.619 2.090 9.463
-3.619 2.090 9.463
0.000 -4.179 9.463
Ac Np Pd Au
2 1 3 12
direct
0.141 0.141 0.141 Ac
0.859 0.859 0.859 Ac
0.500 0.500 0.500 Np
0.000 0.500 0.500 Pd
0.500 0.000 0.500 Pd
0.500 0.500 0.000 Pd
0.076 0.616 0.616 Au
0.085 0.085 0.697 Au
0.085 0.697 0.085 Au
0.303 0.915 0.915 Au
0.384 0.384 0.924 Au
0.384 0.924 0.384 Au
0.616 0.076 0.616 Au
0.616 0.616 0.076 Au
0.697 0.085 0.085 Au
0.915 0.303 0.915 Au
0.915 0.915 0.303 Au
0.924 0.384 0.384 Au